--- A ---
Computed, not measured: a relaxed CsNp4S8 crystal at the GGA-PBE level of DFT.

Cell and atoms, written as CIF:
```
data_CsNp4S8
_chemical_formula_sum 'Cs2 Np8 S16'
_space_group_name_H-M_alt 'C 1 m 1'
_space_group_IT_number 8
_cell_length_a 18.8241
_cell_length_b 4.0724
_cell_length_c 12.8896
_cell_angle_alpha 90.00
_cell_angle_beta 131.16
_cell_angle_gamma 90.00
loop_
_space_group_symop_operation_xyz
'x,y,z'
'x,-y,z'
'x+1/2,y+1/2,z'
'x+1/2,-y+1/2,z'
loop_
_atom_site_label
_atom_site_fract_x
_atom_site_fract_y
_atom_site_fract_z
Cs1 0.0000 0.0000 0.0000
Np1 0.1473 0.0000 0.4706
Np2 0.1608 0.5000 0.8248
Np3 0.3429 0.0000 0.1788
Np4 0.3566 0.5000 0.5328
S1 0.0434 0.0000 0.7605
S2 0.1306 0.5000 0.5876
S3 0.1666 0.5000 0.3511
S4 0.2180 0.5000 0.0794
S5 0.2860 0.0000 0.9244
S6 0.3374 0.0000 0.6523
S7 0.3744 0.0000 0.4170
S8 0.4604 0.5000 0.2433
```

Values from the calculation:
* spin magnetization: 0.0076 μB per atom
* volume: 744 Å³ per cell


--- B ---
Computed, not measured: a relaxed CsNp4S8 crystal at the GGA-PBE level of DFT.

Cell and atoms, written as CIF:
```
data_CsNp4S8
_chemical_formula_sum 'Cs4 Np16 S32'
_space_group_name_H-M_alt 'F -4 3 m'
_space_group_IT_number 216
_space_group_name_Hall 'F -4 2 3'
_cell_length_a 11.8333
_cell_length_b 11.8333
_cell_length_c 11.8333
_cell_angle_alpha 90.00
_cell_angle_beta 90.00
_cell_angle_gamma 90.00
loop_
_atom_site_label
_atom_site_fract_x
_atom_site_fract_y
_atom_site_fract_z
Cs1 0.0000 0.0000 0.0000
Np1 0.1231 0.1231 0.3769
S1 0.1063 0.1063 0.6063
S2 0.1504 0.1504 0.1504
```

Values from the calculation:
* spin magnetization: 1.0000 μB per atom
* volume: 1657 Å³ per cell


Stability summary: most stable A, least stable B.


--- A ---
Computed, not measured: a relaxed CsNpS3 crystal at the GGA-PBE level of DFT.

Cell and atoms, written as CIF:
```
data_CsNpS3
_chemical_formula_sum 'Cs1 Np1 S3'
_space_group_name_H-M_alt 'P m m m'
_space_group_IT_number 47
_cell_length_a 3.9768
_cell_length_b 5.1564
_cell_length_c 7.4034
_cell_angle_alpha 90.00
_cell_angle_beta 90.00
_cell_angle_gamma 90.00
loop_
_space_group_symop_operation_xyz
'x,y,z'
'-x,-y,-z'
'-x,-y,z'
'x,y,-z'
'x,-y,-z'
'-x,y,z'
'-x,y,-z'
'x,-y,z'
loop_
_atom_site_label
_atom_site_fract_x
_atom_site_fract_y
_atom_site_fract_z
Cs1 0.0000 0.0000 0.0000
Np1 0.0000 0.5000 0.5000
S1 0.0000 0.0000 0.5000
S2 0.5000 0.5000 0.2676
```

Values from the calculation:
* spin magnetization: 0.4000 μB per atom
* volume: 152 Å³ per cell


--- B ---
Computed, not measured: a relaxed CsNpS3 crystal at the GGA-PBE level of DFT.

Cell and atoms, written as CIF:
```
data_CsNpS3
_chemical_formula_sum 'Cs1 Np1 S3'
_space_group_name_H-M_alt 'P m -3 m'
_space_group_IT_number 221
_space_group_name_Hall '-P 4 2 3'
_cell_length_a 5.2360
_cell_length_b 5.2360
_cell_length_c 5.2360
_cell_angle_alpha 90.00
_cell_angle_beta 90.00
_cell_angle_gamma 90.00
loop_
_atom_site_label
_atom_site_fract_x
_atom_site_fract_y
_atom_site_fract_z
Cs1 0.0000 0.0000 0.0000
Np1 0.5000 0.5000 0.5000
S1 0.0000 0.5000 0.5000
```

Values from the calculation:
* spin magnetization: 0.3998 μB per atom
* volume: 144 Å³ per cell


Stability summary: most stable B, least stable A.


--- A ---
Computed, not measured: a relaxed CsNpSb2 crystal at the GGA-PBE level of DFT.

Cell and atoms, written as CIF:
```
data_CsNpSb2
_chemical_formula_sum 'Cs3 Np3 Sb6'
_space_group_name_H-M_alt 'R -3 m'
_space_group_IT_number 166
_space_group_name_Hall '-R 3 2"'
_cell_length_a 4.6503
_cell_length_b 4.6503
_cell_length_c 26.2244
_cell_angle_alpha 90.00
_cell_angle_beta 90.00
_cell_angle_gamma 120.00
loop_
_atom_site_label
_atom_site_fract_x
_atom_site_fract_y
_atom_site_fract_z
Cs1 0.0000 0.0000 0.0000
Np1 0.0000 0.0000 0.5000
Sb1 0.0000 0.0000 0.2238
```

Values from the calculation:
* spin magnetization: 0.7151 μB per atom
* volume: 491 Å³ per cell


--- B ---
Computed, not measured: a relaxed CsNpSb2 crystal at the GGA-PBE level of DFT.

Cell and atoms, written as CIF:
```
data_CsNpSb2
_chemical_formula_sum 'Cs3 Np3 Sb6'
_space_group_name_H-M_alt 'R 3 m'
_space_group_IT_number 160
_space_group_name_Hall 'R 3 -2"'
_cell_length_a 4.6317
_cell_length_b 4.6317
_cell_length_c 26.5798
_cell_angle_alpha 90.00
_cell_angle_beta 90.00
_cell_angle_gamma 120.00
loop_
_atom_site_label
_atom_site_fract_x
_atom_site_fract_y
_atom_site_fract_z
Cs1 0.0000 0.0000 0.0000
Np1 0.0000 0.0000 0.8309
Sb1 0.0000 0.0000 0.2215
Sb2 0.0000 0.0000 0.4406
```

Values from the calculation:
* spin magnetization: 0.7080 μB per atom
* volume: 494 Å³ per cell


Stability summary: most stable A, least stable B.


--- A ---
Computed, not measured: a relaxed Cs2NpSe4 crystal at the GGA-PBE level of DFT.

Cell and atoms, written as CIF:
```
data_Cs2NpSe4
_chemical_formula_sum 'Cs2 Np1 Se4'
_space_group_name_H-M_alt 'P 1 2/m 1'
_space_group_IT_number 10
_cell_length_a 7.8205
_cell_length_b 4.2922
_cell_length_c 9.1077
_cell_angle_alpha 90.00
_cell_angle_beta 113.42
_cell_angle_gamma 90.00
loop_
_space_group_symop_operation_xyz
'x,y,z'
'-x,-y,-z'
'-x,y,-z'
'x,-y,z'
loop_
_atom_site_label
_atom_site_fract_x
_atom_site_fract_y
_atom_site_fract_z
Cs1 0.2107 0.0000 0.3357
Np1 0.5000 0.5000 0.0000
Se1 0.2610 0.0000 0.9596
Se2 0.4169 0.5000 0.6922
```

Values from the calculation:
* spin magnetization: 0.1381 μB per atom
* volume: 281 Å³ per cell


--- B ---
Computed, not measured: a relaxed Cs2NpSe4 crystal at the GGA-PBE level of DFT.

Cell and atoms, written as CIF:
```
data_Cs2NpSe4
_chemical_formula_sum 'Cs4 Np2 Se8'
_space_group_name_H-M_alt 'I 4/m m m'
_space_group_IT_number 139
_space_group_name_Hall '-I 4 2'
_cell_length_a 5.4776
_cell_length_b 5.4776
_cell_length_c 18.1895
_cell_angle_alpha 90.00
_cell_angle_beta 90.00
_cell_angle_gamma 90.00
loop_
_atom_site_label
_atom_site_fract_x
_atom_site_fract_y
_atom_site_fract_z
Cs1 0.0000 0.0000 0.1472
Np1 0.0000 0.0000 0.5000
Se1 0.0000 0.0000 0.3557
Se2 0.0000 0.5000 0.0000
```

Values from the calculation:
* spin magnetization: 0.1382 μB per atom
* volume: 546 Å³ per cell


Stability summary: most stable B, least stable A.


--- A ---
Computed, not measured: a relaxed CsNpTe4 crystal at the GGA-PBE level of DFT.

Cell and atoms, written as CIF:
```
data_CsNpTe4
_chemical_formula_sum 'Cs2 Np2 Te8'
_space_group_name_H-M_alt 'P 4/n b m'
_space_group_IT_number 125
_cell_length_a 6.8870
_cell_length_b 6.8870
_cell_length_c 9.6230
_cell_angle_alpha 90.00
_cell_angle_beta 90.00
_cell_angle_gamma 90.00
loop_
_space_group_symop_operation_xyz
'x,y,z'
'-x,-y,-z'
'-y+1/2,x,z'
'y+1/2,-x,-z'
'-x+1/2,-y+1/2,z'
'x+1/2,y+1/2,-z'
'y,-x+1/2,z'
'-y,x+1/2,-z'
'x,-y+1/2,-z'
'-x,y+1/2,z'
'-y+1/2,-x+1/2,-z'
'y+1/2,x+1/2,z'
'-x+1/2,y,-z'
'x+1/2,-y,z'
'y,x,-z'
'-y,-x,z'
loop_
_atom_site_label
_atom_site_fract_x
_atom_site_fract_y
_atom_site_fract_z
Cs1 0.2500 0.2500 0.0000
Np1 0.2500 0.2500 0.5000
Te1 0.1020 0.6020 0.3099
```

Values from the calculation:
* spin magnetization: 0.6671 μB per atom
* volume: 456 Å³ per cell


--- B ---
Computed, not measured: a relaxed CsNpTe4 crystal at the GGA-PBE level of DFT.

Cell and atoms, written as CIF:
```
data_CsNpTe4
_chemical_formula_sum 'Cs4 Np4 Te16'
_space_group_name_H-M_alt 'C 1 2/m 1'
_space_group_IT_number 12
_cell_length_a 16.2029
_cell_length_b 8.1460
_cell_length_c 7.9882
_cell_angle_alpha 90.00
_cell_angle_beta 97.98
_cell_angle_gamma 90.00
loop_
_space_group_symop_operation_xyz
'x,y,z'
'-x,-y,-z'
'-x,y,-z'
'x,-y,z'
'x+1/2,y+1/2,z'
'-x+1/2,-y+1/2,-z'
'-x+1/2,y+1/2,-z'
'x+1/2,-y+1/2,z'
loop_
_atom_site_label
_atom_site_fract_x
_atom_site_fract_y
_atom_site_fract_z
Cs1 0.2012 0.0000 0.1890
Np1 0.0388 0.5000 0.2756
Te1 0.0000 0.2551 0.0000
Te2 0.0851 0.2463 0.5545
Te3 0.2172 0.5000 0.2760
```

Values from the calculation:
* spin magnetization: 0.3420 μB per atom
* volume: 1044 Å³ per cell


Stability summary: most stable A, least stable B.


--- A ---
Computed, not measured: a relaxed CsNpTe3 crystal at the GGA-PBE level of DFT.

Cell and atoms, written as CIF:
```
data_CsNpTe3
_chemical_formula_sum 'Cs1 Np1 Te3'
_space_group_name_H-M_alt 'P m -3 m'
_space_group_IT_number 221
_space_group_name_Hall '-P 4 2 3'
_cell_length_a 5.9276
_cell_length_b 5.9276
_cell_length_c 5.9276
_cell_angle_alpha 90.00
_cell_angle_beta 90.00
_cell_angle_gamma 90.00
loop_
_atom_site_label
_atom_site_fract_x
_atom_site_fract_y
_atom_site_fract_z
Cs1 0.0000 0.0000 0.0000
Np1 0.5000 0.5000 0.5000
Te1 0.0000 0.5000 0.5000
```

Values from the calculation:
* spin magnetization: 0.4251 μB per atom
* volume: 208 Å³ per cell


--- B ---
Computed, not measured: a relaxed CsNpTe3 crystal at the GGA-PBE level of DFT.

Cell and atoms, written as CIF:
```
data_CsNpTe3
_chemical_formula_sum 'Cs2 Np2 Te6'
_space_group_name_H-M_alt 'P m m n'
_space_group_IT_number 59
_cell_length_a 4.3502
_cell_length_b 9.0389
_cell_length_c 9.7028
_cell_angle_alpha 90.00
_cell_angle_beta 90.00
_cell_angle_gamma 90.00
loop_
_space_group_symop_operation_xyz
'x,y,z'
'-x,-y,-z'
'-x+1/2,-y+1/2,z'
'x+1/2,y+1/2,-z'
'x+1/2,-y,-z'
'-x+1/2,y,z'
'-x,y+1/2,-z'
'x,-y+1/2,z'
loop_
_atom_site_label
_atom_site_fract_x
_atom_site_fract_y
_atom_site_fract_z
Cs1 0.2500 0.2500 0.0475
Np1 0.2500 0.2500 0.5097
Te1 0.2500 0.5682 0.6653
Te2 0.2500 0.7500 0.2717
```

Values from the calculation:
* spin magnetization: 0.6504 μB per atom
* volume: 382 Å³ per cell


Stability summary: most stable A, least stable B.